## RuS (PBE)

Data for an optimized crystal structure of RuS.

Computed properties:
Crystal system = monoclinic
Raw formation energy = -0.759 eV per formula unit
Fermi-level density of states = 0.310 states/eV/atom
Spin magnetization = 0.0 μB/cell

a = 3.8919 Å, b = 3.8911 Å, c = 5.4351 Å
α = 90.00°, β = 90.18°, γ = 90.00°
Last column: nearest neighbours and their distance in Å.
Fractional positions:
Ru: 0.2500 0.2500 0.0000  4 S 2.31
Ru: 0.7500 0.7500 0.0000  4 S 2.31
S: 0.2490 0.7500 0.7704  4 Ru 2.31
S: 0.7510 0.2500 0.2296  4 Ru 2.31